Entry 1:
Nd2TmHg: relaxed, PBE-GGA.

For the energy relative to the elements, the calculation gives -0.21 eV per atom. As for the symmetry: P4/mmm, No. 123. As for the density of states at the Fermi level: 4.99 states/eV/f.u.

The structure in extended XYZ format:
```
4
Lattice="3.712 0.000 0.000 0.000 3.712 0.000 0.000 0.000 8.897" Properties=species:S:1:pos:R:3 pbc="T T T"
Nd 0.000 0.000 2.024
Nd 0.000 0.000 6.874
Tm 1.856 1.856 4.449
Hg 1.856 1.856 0.000
```

Entry 2:
Nd9Tm4Hg11: relaxed, PBE-GGA.

For the energy relative to the elements, the calculation gives -0.38 eV per atom. As for the symmetry: Cmmm, No. 65. As for the density of states at the Fermi level: 22.43 states/eV/f.u.

The structure in extended XYZ format:
```
24
Lattice="7.937 -11.708 0.000 7.937 11.708 0.000 0.000 0.000 3.558" Properties=species:S:1:pos:R:3 pbc="T T T"
Nd 0.000 0.000 0.000
Nd 6.155 5.955 0.000
Nd 5.905 1.880 0.000
Nd 9.719 5.955 0.000
Nd 5.905 -1.880 0.000
Nd 9.969 1.880 0.000
Nd 6.155 -5.955 0.000
Nd 9.969 -1.880 0.000
Nd 9.719 -5.955 0.000
Tm 2.374 2.272 0.000
Tm 2.374 -2.272 0.000
Tm 13.500 2.272 0.000
Tm 13.500 -2.272 0.000
Hg 4.124 4.138 1.779
Hg 7.937 8.475 1.779
Hg 3.483 0.000 1.779
Hg 7.937 3.798 1.779
Hg 4.124 -4.138 1.779
Hg 7.937 0.000 1.779
Hg 11.750 4.138 1.779
Hg 7.937 -3.798 1.779
Hg 12.391 0.000 1.779
Hg 7.937 -8.475 1.779
Hg 11.750 -4.138 1.779
```

Entry 3:
NdTmHg3: relaxed, PBE-GGA.

For the energy relative to the elements, the calculation gives -0.26 eV per atom. As for the symmetry: P6_3/mmc, No. 194. As for the density of states at the Fermi level: 6.89 states/eV/f.u.

The structure in extended XYZ format:
```
10
Lattice="7.024 0.000 0.000 -3.512 6.083 0.000 0.000 0.000 6.718" Properties=species:S:1:pos:R:3 pbc="T T T"
Nd 0.000 4.055 1.680
Nd 3.512 2.028 5.039
Tm 0.000 0.000 0.000
Tm 0.000 0.000 3.359
Hg 0.000 2.401 5.039
Hg -1.433 4.882 5.039
Hg 2.079 1.200 1.680
Hg 1.433 4.882 5.039
Hg 4.944 1.200 1.680
Hg 3.512 3.682 1.680
```